The following is a DFT calculation (GGA-PBE) of GePdPt3 after structural relaxation.

Calculated values
Crystal system: monoclinic
ΔE_f in eV per atom: -0.2225
Energy above the most stable polymorph in this dataset in eV per atom: 0.000

```
GePdPt3
1.0
4.211 0.000 0.000
0.000 8.889 -1.823
0.000 -4.415 9.556
Pt Pd Ge
12 4 4
Direct
0.620 0.346 0.366 Pt
0.129 0.390 0.029 Pt
0.120 0.154 0.134 Pt
0.382 0.355 0.772 Pt
0.882 0.145 0.728 Pt
0.871 0.610 0.971 Pt
0.618 0.645 0.228 Pt
0.629 0.110 0.471 Pt
0.380 0.654 0.634 Pt
0.371 0.890 0.529 Pt
0.118 0.855 0.272 Pt
0.880 0.846 0.866 Pt
0.108 0.543 0.349 Pd
0.892 0.457 0.651 Pd
0.392 0.043 0.849 Pd
0.608 0.957 0.151 Pd
0.634 0.302 0.104 Ge
0.366 0.698 0.896 Ge
0.134 0.198 0.396 Ge
0.866 0.802 0.604 Ge
```


The following is a DFT calculation (GGA-PBE) of GePd2Pt4 after structural relaxation.

Calculated values
Crystal system: orthorhombic
ΔE_f in eV per atom: -0.0541
Energy above the most stable polymorph in this dataset in eV per atom: 0.000

```
GePd2Pt4
1.0
-0.312 2.137 1.735
5.317 -4.890 4.769
7.776 4.461 -4.095
Pd Pt Ge
4 8 2
Direct
0.129 0.258 0.392 Pd
0.871 0.742 0.608 Pd
0.871 0.742 0.892 Pd
0.129 0.258 0.108 Pd
0.989 0.978 0.250 Pt
0.011 0.022 0.750 Pt
0.500 0.000 0.000 Pt
0.773 0.545 0.387 Pt
0.500 0.000 0.500 Pt
0.773 0.545 0.113 Pt
0.227 0.455 0.887 Pt
0.227 0.455 0.613 Pt
0.631 0.262 0.750 Ge
0.369 0.738 0.250 Ge
```


The following is a DFT calculation (GGA-PBE) of GePd8Pt2 after structural relaxation.

Calculated values
Crystal system: monoclinic
ΔE_f in eV per atom: 0.1856
Energy above the most stable polymorph in this dataset in eV per atom: 0.337

```
GePd8Pt2
1.0
-0.139 5.025 -1.450
-3.457 0.322 5.840
3.048 0.562 6.046
Pd Pt Ge
8 2 1
Direct
0.295 0.411 0.411 Pd
0.205 0.803 0.400 Pd
0.705 0.589 0.589 Pd
0.795 0.600 0.197 Pd
0.795 0.197 0.600 Pd
0.051 0.795 0.795 Pd
0.949 0.205 0.205 Pd
0.205 0.400 0.803 Pd
0.469 0.222 0.222 Pt
0.531 0.778 0.778 Pt
0.000 0.000 0.000 Ge
```


The following is a DFT calculation (GGA-PBE) of Ge6PdPt3 after structural relaxation.

Calculated values
Crystal system: monoclinic
ΔE_f in eV per atom: -0.3109

```
Ge6PdPt3
1.0
-2.726 -0.823 -2.381
-0.089 -9.187 3.278
-6.784 4.683 6.149
Ge Pd Pt
12 2 6
Direct
0.250 0.045 0.894 Ge
0.250 0.215 0.207 Ge
0.750 0.785 0.793 Ge
0.750 0.454 0.084 Ge
0.750 0.450 0.597 Ge
0.750 0.955 0.106 Ge
0.250 0.546 0.916 Ge
0.250 0.550 0.403 Ge
0.750 0.764 0.317 Ge
0.750 0.100 0.453 Ge
0.250 0.900 0.547 Ge
0.250 0.236 0.683 Ge
0.750 0.049 0.713 Pd
0.250 0.951 0.287 Pd
0.750 0.695 0.546 Pt
0.750 0.379 0.822 Pt
0.250 0.621 0.178 Pt
0.250 0.805 0.962 Pt
0.250 0.305 0.454 Pt
0.750 0.195 0.038 Pt
```